# 1
## KRb3In (GGA-PBEsol)

Data for crystalline KRb3In at its relaxed geometry.

Summary:
Its electronic total energy is -0.94 eV per atom. For the formation energy, the calculation gives 0.49 eV/atom. As for the theoretical density: 1.7 Mg/m³. For the total moment, the calculation gives 0.0 μB per cell.

abc: 7.3834 7.3834 7.3834
angles: 90.00 90.00 90.00
Last column: nearest neighbours and their distance in Å.
Space group Pm-3m (No. 221)
Unique sites:
1 K 0.0000 0.0000 0.0000 [1 per cell]  6 Rb 3.69
2 Rb 0.0000 0.0000 0.5000 [3 per cell]  2 K 3.69
3 In 0.5000 0.5000 0.5000 [1 per cell]  12 Rb 5.22

# 2
## BaY2Cd (GGA-PBEsol)

Data for crystalline BaY2Cd at its relaxed geometry.

Summary:
Its electronic total energy is -4.29 eV per atom. For the formation energy, the calculation gives -0.04 eV/atom. As for the theoretical density: 5.4 Mg/m³. For the total moment, the calculation gives 0.0 μB per cell.

abc: 3.7238 5.8487 12.0457
angles: 90.00 90.00 90.00
Last column: nearest neighbours and their distance in Å.
Space group Immm (No. 71)
Unique sites:
1 Ba 0.0000 0.0000 0.0000 [2 per cell]  4 Cd 3.47, 2 Ba 3.72
2 Y 0.0000 0.5000 0.2135 [4 per cell]  2 Cd 3.18
3 Cd 0.0000 0.0000 0.5000 [2 per cell]  4 Y 3.18, 4 Ba 3.47

# 3
## ZnSbTe2W (GGA-PBEsol)

Data for crystalline ZnSbTe2W at its relaxed geometry.

Summary:
For the uncorrected formation energy, the calculation gives 69 kJ/mol of atoms. Its electronic total energy is -4.69 eV per atom. As for the theoretical density: 7.2 Mg/m³. For the total moment, the calculation gives 0.0 μB per cell.

abc: 5.2524 5.2524 5.2425
angles: 90.00 90.00 90.00
Last column: nearest neighbours and their distance in Å.
Space group P4/mmm (No. 123)
Unique sites:
1 Zn 0.0000 0.0000 0.0000 [1 per cell]  8 Te 3.71, 4 Sb 3.71
2 Sb 0.5000 0.5000 0.0000 [1 per cell]  2 W 2.62
3 Te 0.0000 0.5000 0.5000 [2 per cell]  2 W 2.63
4 W 0.5000 0.5000 0.5000 [1 per cell]  2 Sb 2.62, 4 Te 2.63

# 4
## Nb2AlPOs (GGA-PBEsol)

Data for crystalline Nb2AlPOs at its relaxed geometry.

Summary:
Its electronic total energy is -7.80 eV per atom. For the formation energy, the calculation gives 0.95 eV/atom. As for the theoretical density: 6.8 Mg/m³. For the total moment, the calculation gives 0.0 μB per cell.

abc: 4.8261 4.8261 4.5563
angles: 90.00 90.00 90.00
Last column: nearest neighbours and their distance in Å.
Space group P4/mmm (No. 123)
Unique sites:
1 Nb 0.0000 0.5000 0.0000 [2 per cell]  2 Os 2.41
2 Al 0.0000 0.0000 0.5000 [1 per cell]  2 Os 2.28
3 P 0.5000 0.5000 0.5000 [1 per cell]  8 Nb 3.32, 4 Al 3.41
4 Os 0.0000 0.0000 0.0000 [1 per cell]  2 Al 2.28, 4 Nb 2.41

# 5
## Li2P2Rh (GGA-PBEsol)

Data for crystalline Li2P2Rh at its relaxed geometry.

Summary:
Its electronic total energy is -5.53 eV per atom. For the formation energy, the calculation gives -0.80 eV/atom. As for the theoretical density: 4.3 Mg/m³. For the total moment, the calculation gives 0.0 μB per cell.

abc: 5.8629 5.8629 4.0510
angles: 90.00 90.00 90.00
Last column: nearest neighbours and their distance in Å.
Space group P4/mbm (No. 127)
Unique sites:
1 Li 0.1777 0.3223 0.0000 [4 per cell]  6 P 2.57-2.73
2 P 0.1314 0.6314 0.5000 [4 per cell]  1 P 2.18, 2 Rh 2.29
3 Rh 0.0000 0.0000 0.5000 [2 per cell]  4 P 2.29

# 6
## LiYAu2 (GGA-PBEsol)

Data for crystalline LiYAu2 at its relaxed geometry.

Summary:
Its electronic total energy is -4.79 eV per atom. For the formation energy, the calculation gives -0.63 eV/atom. For the excess energy over the best structure of this formula in the dataset, the calculation gives 0.26 eV per formula unit. As for the theoretical density: 10.5 Mg/m³. For the total moment, the calculation gives 0.0 μB per cell.

abc: 3.5342 4.6911 4.6921
angles: 90.00 90.01 90.00
Last column: nearest neighbours and their distance in Å.
Space group Pm (No. 6)
Unique sites:
1 Li 0.0000 0.0000 0.0000 [1 per cell]  8 Au 2.91-2.96
2 Y 0.0016 0.5000 0.5036 [1 per cell]  8 Au 2.94
3 Au 0.5015 0.0000 0.4942 [1 per cell]  4 Li 2.91-2.96, 4 Y 2.94
4 Au 0.5016 0.5000 0.0038 [1 per cell]  4 Li 2.93-2.94, 4 Y 2.94

# 7
## LiIO3 (GGA-PBEsol)

Data for crystalline LiIO3 at its relaxed geometry.

Summary:
For the uncorrected formation energy, the calculation gives -94 kJ/mol of atoms. Its electronic total energy is -4.87 eV per atom. As for the theoretical density: 4.3 Mg/m³. For the total moment, the calculation gives 0.0 μB per cell.

abc: 9.2455 5.7897 5.2036
angles: 90.00 90.00 90.00
Last column: nearest neighbours and their distance in Å.
Space group Pna2_1 (No. 33)
Unique sites:
1 Li 0.0186 0.0892 0.0000 [4 per cell]  5 O 1.95-2.10
2 I 0.1823 0.5818 0.0368 [4 per cell]  3 O 1.81-1.83
3 O 0.0713 0.3639 0.1961 [4 per cell]  1 I 1.83, 1 Li 1.95
4 O 0.1304 0.8391 0.2162 [4 per cell]  1 I 1.82
5 O 0.1493 0.0259 0.7045 [4 per cell]  1 I 1.81, 2 Li 1.99-2.00

# 8
## MgZnCd2 (GGA-PBEsol)

Data for crystalline MgZnCd2 at its relaxed geometry.

Summary:
Its electronic total energy is -1.43 eV per atom. For the formation energy, the calculation gives -0.01 eV/atom. For the excess energy over the best structure of this formula in the dataset, the calculation gives 0.08 eV per formula unit. As for the theoretical density: 6.8 Mg/m³. For the total moment, the calculation gives 0.0 μB per cell.

abc: 3.2461 4.0053 5.9505
angles: 90.00 90.00 90.00
Last column: nearest neighbours and their distance in Å.
Space group Pmmm (No. 47)
Unique sites:
1 Mg 0.0000 0.0000 0.0000 [1 per cell]  2 Zn 2.98, 8 Cd 3.00, 2 Mg 3.25
2 Zn 0.0000 0.0000 0.5000 [1 per cell]  8 Cd 2.95, 2 Mg 2.98, 2 Zn 3.25
3 Cd 0.5000 0.5000 0.2576 [2 per cell]  2 Cd 2.89-3.07, 4 Zn 2.95, 4 Mg 3.00

# 9
## SrGe3Sb (GGA-PBEsol)

Data for crystalline SrGe3Sb at its relaxed geometry.

Summary:
For the uncorrected formation energy, the calculation gives 120 kJ/mol of atoms. Its electronic total energy is -3.00 eV per atom. As for the theoretical density: 4.5 Mg/m³. For the total moment, the calculation gives 0.0 μB per cell.

abc: 5.4189 5.4189 5.4189
angles: 90.00 90.00 90.00
Last column: nearest neighbours and their distance in Å.
Space group Pm-3m (No. 221)
Unique sites:
1 Sr 0.0000 0.0000 0.0000 [1 per cell]  6 Ge 2.71
2 Ge 0.0000 0.0000 0.5000 [3 per cell]  2 Sr 2.71
3 Sb 0.5000 0.5000 0.5000 [1 per cell]  12 Ge 3.83

# 10
## K3C (GGA-PBEsol)

Data for crystalline K3C at its relaxed geometry.

Summary:
Its electronic total energy is -2.14 eV per atom. For the formation energy, the calculation gives 1.12 eV/atom. For the excess energy over the best structure of this formula in the dataset, the calculation gives 0.13 eV per formula unit. As for the theoretical density: 1.2 Mg/m³. For the total moment, the calculation gives 3.2 μB per cell.

abc: 4.0105 11.9291 7.4294
angles: 90.00 90.00 90.00
Last column: nearest neighbours and their distance in Å.
Space group Imm2 (No. 44)
Unique sites:
1 K 0.0000 0.0000 0.0000 [2 per cell]  2 C 2.89
2 K 0.0000 0.1517 0.4281 [4 per cell]  2 C 2.91
3 C 0.0000 0.5000 0.7807 [2 per cell]  6 K 2.89-2.91

# 11
## Ta7Cu3O19 (GGA-PBEsol)

Data for crystalline Ta7Cu3O19 at its relaxed geometry.

Summary:
For the uncorrected formation energy, the calculation gives -236 kJ/mol of atoms. Its electronic total energy is -9.36 eV per atom. As for the theoretical density: 8.6 Mg/m³. For the total moment, the calculation gives 0.0 μB per cell.

abc: 6.2103 6.2103 20.2522
angles: 90.00 90.00 120.00
Last column: nearest neighbours and their distance in Å.
Space group P6_3/m (No. 176)
Unique sites:
1 Ta 0.0000 0.0000 0.0000 [2 per cell]  6 O 2.00
2 Ta 0.0324 0.6961 0.1566 [12 per cell]  6 O 1.91-2.06
3 Cu 0.0000 0.5000 0.0000 [6 per cell]  2 O 1.86
4 O 0.0000 0.0000 0.1625 [4 per cell]  3 Ta 2.00
5 O 0.0264 0.7492 0.0564 [12 per cell]  1 Cu 1.86, 2 Ta 2.00-2.06
6 O 0.0772 0.7127 0.2500 [6 per cell]  2 Ta 1.91
7 O 0.0832 0.6661 0.6546 [12 per cell]  2 Ta 1.99-2.02
8 O 0.3333 0.6667 0.1357 [4 per cell]  3 Ta 2.01

# 12
## Zn2ReRu (GGA-PBEsol)

Data for crystalline Zn2ReRu at its relaxed geometry.

Summary:
Its electronic total energy is -6.43 eV per atom. For the formation energy, the calculation gives 0.23 eV/atom. For the excess energy over the best structure of this formula in the dataset, the calculation gives 1.06 eV per formula unit. As for the theoretical density: 12.6 Mg/m³. For the total moment, the calculation gives 0.0 μB per cell.

abc: 2.8178 4.4766 8.7654
angles: 90.00 90.00 90.00
Last column: nearest neighbours and their distance in Å.
Space group Immm (No. 71)
Unique sites:
1 Zn 0.0000 0.0000 0.2453 [4 per cell]  2 Ru 2.57, 2 Re 2.64, 6 Zn 2.65-2.82
2 Re 0.0000 0.5000 0.0000 [2 per cell]  4 Zn 2.64, 4 Ru 2.64, 2 Re 2.82
3 Ru 0.0000 0.5000 0.5000 [2 per cell]  4 Zn 2.57, 4 Re 2.64, 2 Ru 2.82